# 1
Material: Cd2PtO4
Method: DFT, PBE
State: relaxed

Summary:
E in eV/atom: -4.706
Uncorrected formation energy in eV per atom: -0.7482
Magnetic moment in μB per formula unit: 0.0

Unit cell a=3.273 b=5.537 c=5.859 alpha=112.11 beta=90.00 gamma=107.17
Atoms (fractional coordinates):
Pt: 0.000 0.000 0.000
Cd: 0.334 0.667 0.352
Cd: 0.666 0.333 0.648
O: 0.615 0.231 0.976
O: 0.385 0.769 0.024
O: 0.120 0.241 0.369
O: 0.880 0.759 0.631



# 2
Material: CdPtO3
Method: DFT, PBE
State: relaxed

Summary:
E in eV/atom: -4.994
Uncorrected formation energy in eV per atom: -0.6279
Magnetic moment in μB per formula unit: 0.0

Unit cell a=5.586 b=7.077 c=7.077 alpha=85.20 beta=79.90 gamma=79.90
Atoms (fractional coordinates):
O: 0.066 0.732 0.507
O: 0.566 0.507 0.732
O: 0.934 0.268 0.493
O: 0.532 0.176 0.025
O: 0.434 0.493 0.268
O: 0.005 0.331 0.892
O: 0.495 0.108 0.669
O: 0.032 0.025 0.176
O: 0.468 0.824 0.975
O: 0.995 0.669 0.108
O: 0.505 0.892 0.331
O: 0.968 0.975 0.824
Cd: 0.671 0.776 0.591
Cd: 0.829 0.409 0.224
Cd: 0.329 0.224 0.409
Cd: 0.171 0.591 0.776
Pt: 0.250 0.758 0.242
Pt: 0.750 0.242 0.758
Pt: 0.250 0.081 0.919
Pt: 0.750 0.919 0.081



# 3
Material: CdPt3O
Method: DFT, PBE
State: relaxed

Summary:
E in eV/atom: -2.829
Uncorrected formation energy in eV per atom: 1.9702
Magnetic moment in μB per formula unit: 2.2

Unit cell a=5.021 b=5.021 c=5.021 alpha=90.00 beta=90.00 gamma=90.00
Last column: magnetic moment on the atom in μB.
Atoms (fractional coordinates):
Pt: 0.000 0.000 0.500  0.30
Pt: 0.500 0.000 0.000  0.14
Pt: 0.000 0.500 0.000  0.23
Cd: 0.000 0.000 0.000  -0.01
O: 0.500 0.500 0.500  1.34



# 4
Material: CdPtO3
Method: DFT, PBE
State: relaxed

Summary:
E in eV/atom: -4.555
Uncorrected formation energy in eV per atom: -0.1888
Magnetic moment in μB per formula unit: 0.0

Unit cell a=3.959 b=3.959 c=3.959 alpha=90.00 beta=90.00 gamma=90.00
Atoms (fractional coordinates):
O: 0.500 0.000 0.000
O: 0.000 0.000 0.500
O: 0.000 0.500 0.000
Pt: 0.000 0.000 0.000
Cd: 0.500 0.500 0.500



# 5
Material: CdPt3O8
Method: DFT, PBE
State: relaxed

Summary:
E in eV/atom: -4.859
Uncorrected formation energy in eV per atom: 0.0330
Magnetic moment in μB per formula unit: 0.0

Unit cell a=5.710 b=5.710 c=5.713 alpha=90.00 beta=90.00 gamma=120.00
Atoms (fractional coordinates):
O: 0.938 0.640 0.151
O: 0.667 0.333 0.619
O: 0.640 0.701 0.849
O: 0.701 0.062 0.151
O: 0.360 0.299 0.151
O: 0.333 0.667 0.381
O: 0.299 0.938 0.849
O: 0.062 0.360 0.849
Pt: 0.333 0.667 0.052
Pt: 0.667 0.333 0.948
Pt: 0.000 0.000 0.000
Cd: 0.000 0.000 0.500



# 6
Material: CdPt3O
Method: DFT, PBE
State: relaxed

Summary:
E in eV/atom: -4.483
Uncorrected formation energy in eV per atom: 0.3164
Magnetic moment in μB per formula unit: 0.0

Unit cell a=4.320 b=4.320 c=4.320 alpha=90.00 beta=90.00 gamma=90.00
Atoms (fractional coordinates):
Cd: 0.500 0.500 0.500
Pt: 0.000 0.000 0.500
Pt: 0.000 0.500 0.000
Pt: 0.500 0.000 0.000
O: 0.000 0.000 0.000



# 7
Material: CdPt9O12
Method: DFT, PBE
State: relaxed

Summary:
E in eV/atom: -5.703
Uncorrected formation energy in eV per atom: -0.4859
Magnetic moment in μB per formula unit: 0.0

Unit cell a=5.742 b=5.759 c=17.141 alpha=90.00 beta=90.00 gamma=90.00
Atoms (fractional coordinates):
O: 0.750 0.753 0.082
O: 0.741 0.259 0.587
O: 0.250 0.247 0.918
O: 0.741 0.259 0.250
O: 0.750 0.247 0.918
O: 0.741 0.259 0.750
O: 0.259 0.259 0.413
O: 0.259 0.741 0.250
O: 0.250 0.247 0.082
O: 0.741 0.741 0.250
O: 0.259 0.741 0.587
O: 0.250 0.753 0.082
O: 0.259 0.741 0.750
O: 0.741 0.741 0.750
O: 0.250 0.753 0.918
O: 0.741 0.741 0.413
O: 0.259 0.259 0.250
O: 0.750 0.753 0.918
O: 0.259 0.259 0.587
O: 0.741 0.741 0.587
O: 0.741 0.259 0.413
O: 0.750 0.247 0.082
O: 0.259 0.259 0.750
O: 0.259 0.741 0.413
Pt: 0.752 0.500 0.838
Pt: 0.752 0.500 0.162
Pt: 0.000 0.243 0.669
Pt: 0.500 0.000 0.418
Pt: 0.000 0.246 0.000
Pt: 0.500 0.000 0.245
Pt: 0.758 0.500 0.500
Pt: 0.000 0.754 0.000
Pt: 0.500 0.000 0.582
Pt: 0.000 0.757 0.331
Pt: 0.500 0.000 0.755
Pt: 0.000 0.757 0.669
Pt: 0.248 0.500 0.838
Pt: 0.500 0.000 0.918
Pt: 0.500 0.000 0.082
Pt: 0.000 0.243 0.331
Pt: 0.248 0.500 0.162
Pt: 0.242 0.500 0.500
Cd: 0.500 0.500 0.669
Cd: 0.500 0.500 0.331



# 8
Material: CdPt2O
Method: DFT, PBE
State: relaxed

Summary:
E in eV/atom: -4.441
Uncorrected formation energy in eV per atom: 0.0476
Magnetic moment in μB per formula unit: 0.0

Unit cell a=5.039 b=5.039 c=7.196 alpha=69.50 beta=69.50 gamma=90.00
Atoms (fractional coordinates):
Pt: 0.875 0.687 0.750
Pt: 0.437 0.125 0.250
Pt: 0.375 0.563 0.750
Pt: 0.313 0.625 0.250
Cd: 0.000 0.000 0.000
Cd: 0.750 0.250 0.500
O: 0.500 0.500 0.000
O: 0.250 0.750 0.500



# 9
Material: Cd3PtO
Method: DFT, PBE
State: relaxed

Summary:
E in eV/atom: -2.969
Uncorrected formation energy in eV per atom: -0.2199
Magnetic moment in μB per formula unit: 0.0

Unit cell a=4.515 b=4.515 c=4.515 alpha=90.00 beta=90.00 gamma=90.00
Atoms (fractional coordinates):
Cd: 0.500 0.000 0.000
Cd: 0.000 0.000 0.500
Cd: 0.000 0.500 0.000
Pt: 0.500 0.500 0.500
O: 0.000 0.000 0.000



# 10
Material: CdPt2O
Method: DFT, PBE
State: relaxed

Summary:
E in eV/atom: -3.950
Uncorrected formation energy in eV per atom: 0.5385
Magnetic moment in μB per formula unit: 1.6

Unit cell a=4.436 b=4.436 c=4.436 alpha=60.00 beta=60.00 gamma=60.00
Last column: magnetic moment on the atom in μB.
Atoms (fractional coordinates):
Pt: 0.750 0.750 0.750  0.47
Pt: 0.250 0.250 0.250  0.47
O: 0.000 0.000 0.000  0.59
Cd: 0.500 0.500 0.500  0.00



# 11
Material: Cd3PtO
Method: DFT, PBE
State: relaxed

Summary:
E in eV/atom: -2.335
Uncorrected formation energy in eV per atom: 0.4141
Magnetic moment in μB per formula unit: 0.0

Unit cell a=5.176 b=5.176 c=5.176 alpha=90.00 beta=90.00 gamma=90.00
Atoms (fractional coordinates):
Cd: 0.000 0.500 0.000
Cd: 0.000 0.000 0.500
Cd: 0.500 0.000 0.000
O: 0.500 0.500 0.500
Pt: 0.000 0.000 0.000



# 12
Material: Cd2Pt2RhO6
Method: DFT, PBE
State: relaxed

Summary:
E in eV/atom: -5.100
Uncorrected formation energy in eV per atom: -0.4626
Magnetic moment in μB per formula unit: 0.0

Unit cell a=5.466 b=5.466 c=6.887 alpha=88.25 beta=88.25 gamma=120.34
Atoms (fractional coordinates):
O: 0.655 0.655 0.643
O: 0.987 0.322 0.644
O: 0.013 0.678 0.356
O: 0.322 0.987 0.644
O: 0.678 0.013 0.356
O: 0.345 0.345 0.357
Cd: 0.156 0.844 0.000
Cd: 0.844 0.156 0.000
Pt: 0.335 0.665 0.500
Pt: 0.665 0.335 0.500
Rh: 0.000 0.000 0.500